VASP calculation (PBE) on CaMgFe2P after structural relaxation.

a = 4.5085 Å, b = 4.5085 Å, c = 5.4546 Å
α = 90.00°, β = 90.00°, γ = 90.00°
Atoms (fractional coordinates):
Ca 0.0000 0.0000 0.0000
Mg 0.0000 0.0000 0.5000
Fe 0.0000 0.5000 0.0000
Fe 0.5000 0.0000 0.0000
P 0.5000 0.5000 0.5000

Summary:
Size of the total moment (μB per formula unit): 4.739
E (eV/atom): -3.36
Density of states at the Fermi level (states/eV/cell): 4.87
Crystal system: tetragonal

---

VASP calculation (PBE) on CaMgFeP after structural relaxation.

a = 3.8666 Å, b = 3.8666 Å, c = 11.0020 Å
α = 90.00°, β = 90.00°, γ = 90.00°
Atoms (fractional coordinates):
Ca 0.2500 0.2500 0.2193
Ca 0.7500 0.7500 0.7807
Mg 0.2500 0.7500 0.5000
Mg 0.7500 0.2500 0.5000
Fe 0.2500 0.7500 0.0000
Fe 0.7500 0.2500 0.0000
P 0.2500 0.2500 0.8988
P 0.7500 0.7500 0.1012

Summary:
Size of the total moment (μB per formula unit): 0.000
E (eV/atom): -4.85
Density of states at the Fermi level (states/eV/cell): 5.55
Crystal system: tetragonal

---

VASP calculation (PBE) on CaMg2ScFe after structural relaxation.

a = 5.5579 Å, b = 5.5579 Å, c = 4.2346 Å
α = 90.00°, β = 90.00°, γ = 90.00°
Atoms (fractional coordinates):
Ca 0.0000 0.0000 0.0000
Mg 0.0000 0.5000 0.5000
Mg 0.5000 0.0000 0.5000
Sc 0.5000 0.5000 0.5000
Fe 0.5000 0.5000 0.0000

Summary:
Size of the total moment (μB per formula unit): 0.000
E (eV/atom): -3.31
Density of states at the Fermi level (states/eV/cell): 5.72
Crystal system: tetragonal